VASP calculation (GGA+U) on a geometry-optimized PmAlCrO4 structure.

Computed properties:
Space-group type = Imma (74)
Magnetization = 4.00 μB per cell
E_tot = -105.3 eV for the cell shown

Cell: 6.250 6.250 6.250 Å, 120.17 118.38 91.27°
Sites, in units of the cell vectors:
Pm1 0.000 0.000 0.000
Pm2 0.500 0.000 0.500
Al1 0.367 0.617 0.750
Al2 0.633 0.383 0.250
Cr1 0.000 0.000 0.500
Cr2 0.000 0.500 0.000
O1 0.236 0.731 0.505
O2 0.246 0.265 0.519
O3 0.246 0.727 0.981
O4 0.274 0.269 0.005
O5 0.726 0.731 0.995
O6 0.754 0.273 0.019
O7 0.754 0.735 0.481
O8 0.764 0.269 0.495